HoAgI4 | the Alexandria database | GGA-PBE | relaxed; space-group type = No. 12; energy relative to the elements, uncorrected = -5.562 eV/f.u.; Fermi-level density of states = 0.0 states/eV/cell; total magnetic moment = 0.000 μB per atom
1.0
6.2267 0.0000 0.0000
-3.1133 12.4705 -0.0517
0.0000 -3.7998 7.6922
Ho Ag I
2 2 8
Cartesian
0.0000 3.5125 2.2081
3.1133 5.1582 5.4324
0.0000 1.1071 6.5344
3.1133 7.5636 1.1061
0.0000 0.9684 3.6933
0.0000 -1.6238 7.3476
3.1133 3.7388 2.5199
3.1133 2.2892 6.3542
0.0000 6.3815 1.2864
0.0000 4.9319 5.1206
3.1133 10.2945 0.2929
3.1133 7.7023 3.9473

***

ScTlSn | the Alexandria database | GGA-PBE | relaxed; ΔE_f = -0.70 eV/f.u.; space-group type = No. 2; Fermi-level density of states = 5.4 states/eV/cell; total magnetic moment = 0.000 μB per atom
1.0
-0.0513 5.6039 0.4067
-2.3654 -2.2302 -4.6368
-3.3191 -1.6156 4.7094
Sc Tl Sn
2 2 2
Cartesian
-2.8321 0.5620 3.0415
-2.9038 1.1962 -2.5623
-3.6005 -1.9563 1.3793
-2.1354 3.7145 -0.9001
-1.2930 0.8148 0.4099
-4.4429 0.9434 0.0694

***

ZrCrCo4 | the Alexandria database | GGA-PBE | relaxed; ΔE_f = -0.56 eV/f.u.; space-group type = No. 216; Fermi-level density of states = 8.9 states/eV/cell; total magnetic moment = 1.371 μB per atom
1.0
0.0000 3.4023 3.4023
3.4023 0.0000 3.4023
3.4023 3.4023 0.0000
Zr Cr Co
1 1 4
Cartesian
0.0000 0.0000 0.0000
5.1034 5.1034 5.1034
4.2484 2.5561 4.2484
2.5561 4.2484 4.2484
4.2484 4.2484 2.5561
2.5561 2.5561 2.5561

***

Ce2HoTl | the Alexandria database | GGA-PBE | relaxed; ΔE_f = -0.56 eV/f.u.; space-group type = No. 123; Fermi-level density of states = 9.5 states/eV/cell; total magnetic moment = 0.421 μB per atom
1.0
-0.1889 2.5511 4.5511
0.6340 -3.9639 2.2482
4.5540 0.6340 -0.1664
Tl Ho Ce
1 1 2
Cartesian
2.4995 -0.3894 3.3165
-0.0945 1.2755 2.2756
2.2770 0.3170 -0.0832
0.3170 -1.9819 1.1241